[1]
Density functional theory data (GGA-PBE) for crystalline CdNCl3 at its relaxed geometry.

Properties
* space-group type: No. 221

Cell lengths 5.2261, 5.2261, 5.2261 Å; angles 90.00, 90.00, 90.00 degrees
With the nearest neighbours (Å) after each atom.
Atoms (fractional coordinates):
Cd 0.0000 0.0000 0.0000  6 Cl 2.61
Cl 0.0000 0.0000 0.5000  2 Cd 2.61
Cl 0.5000 0.0000 0.0000  2 Cd 2.61
Cl 0.0000 0.5000 0.0000  2 Cd 2.61
N 0.5000 0.5000 0.5000  12 Cl 3.70

***

[2]
Density functional theory data (GGA-PBE) for crystalline CdNCl3 at its relaxed geometry.

Properties
* space-group type: No. 1

Cell lengths 9.5673, 5.1458, 10.0196 Å; angles 104.45, 102.47, 52.91 degrees
With the nearest neighbours (Å) after each atom.
Atoms (fractional coordinates):
Cl 0.9133 0.8790 0.4055  2 Cd 2.72-2.79, 2 Cl 2.79-3.01
Cl 0.1927 0.1478 0.3553  2 Cd 2.57-2.59
Cl 0.6499 0.5117 0.3437  2 Cd 2.64-2.69, 1 Cl 2.79
Cl 0.1892 0.1458 0.7110  2 Cd 2.64-2.69, 1 Cl 2.79
Cl 0.7295 0.7739 0.6990  2 Cd 2.57-2.59
Cl 0.4403 0.4667 0.6493  2 Cd 2.72-2.79, 2 Cl 2.79-3.00
Cd 0.9401 0.3914 0.5074  6 Cl 2.57-2.79
Cd 0.4441 0.9051 0.5471  6 Cl 2.57-2.79
N 0.9461 0.6093 0.0425  4 Cl 3.56-3.85
N 0.3954 0.6684 0.0116  4 Cl 3.56-3.82

***

[3]
Density functional theory data (GGA-PBE) for crystalline CdN2Cl3 at its relaxed geometry.

Properties
* space-group type: No. 2

Cell lengths 5.2833, 17.2325, 6.4691 Å; angles 85.55, 35.33, 75.54 degrees
With the nearest neighbours (Å) after each atom.
Atoms (fractional coordinates):
Cd 0.0057 0.2513 0.0008  4 N 2.32
Cd 0.9943 0.7487 0.9992  4 N 2.32
Cl 0.4929 0.7494 0.0002  2 Cd 2.64
Cl 0.1085 0.9317 0.6825  1 N 1.62
Cl 0.8937 0.5665 0.3167  1 N 1.62
Cl 0.1063 0.4335 0.6833  1 N 1.62
Cl 0.8915 0.0683 0.3175  1 N 1.62
Cl 0.5071 0.2506 0.9998  2 Cd 2.64
N 0.3320 0.8329 0.5837  1 Cl 1.62
N 0.3414 0.3354 0.5851  1 Cl 1.62
N 0.6586 0.6646 0.4149  1 Cl 1.62
N 0.6680 0.1671 0.4163  1 Cl 1.62

***

[4]
Density functional theory data (GGA-PBE) for crystalline CdNiN2Cl at its relaxed geometry.

Properties
* space-group type: No. 123

Cell lengths 3.6627, 6.0154, 3.6627 Å; angles 90.00, 90.00, 90.00 degrees
With the nearest neighbours (Å) after each atom.
Atoms (fractional coordinates):
Cd 0.5000 0.5000 0.5000  4 Cl 2.59
Ni 0.0000 0.0000 0.0000  4 N 1.83
Cl 0.0000 0.5000 0.0000  4 Cd 2.59
N 0.5000 0.0000 0.0000  2 Ni 1.83
N 0.0000 0.0000 0.5000  2 Ni 1.83

***

[5]
Density functional theory data (GGA-PBE) for crystalline CdPNCl2 at its relaxed geometry.

Properties
* space-group type: No. 123

Cell lengths 5.8128, 5.8128, 3.2893 Å; angles 90.00, 90.00, 90.00 degrees
With the nearest neighbours (Å) after each atom.
Atoms (fractional coordinates):
Cl 0.5000 0.0000 0.0000  2 N 2.91
Cl 0.0000 0.5000 0.0000  2 N 2.91
P 0.0000 0.0000 0.5000  2 N 1.64
Cd 0.5000 0.5000 0.5000  2 Cd 3.29, 8 Cl 3.34
N 0.0000 0.0000 0.0000  2 P 1.64

***

[6]
Density functional theory data (GGA-PBE) for crystalline CdPNCl2 at its relaxed geometry.

Properties
* space-group type: No. 123

Cell lengths 5.1585, 5.1585, 5.3339 Å; angles 90.00, 90.00, 90.00 degrees
With the nearest neighbours (Å) after each atom.
Atoms (fractional coordinates):
Cd 0.0000 0.0000 0.0000  4 Cl 2.58, 2 P 2.67
Cl 0.5000 0.0000 0.0000  2 Cd 2.58
Cl 0.0000 0.5000 0.0000  2 Cd 2.58
P 0.0000 0.0000 0.5000  2 Cd 2.67
N 0.5000 0.5000 0.5000  4 P 3.65, 8 Cl 3.71

***

Number 1: final energy -2.295 eV per atom, magnetic moment 2.0 μB/f.u.. Number 2: final energy -2.375 eV per atom, magnetic moment 4.0 μB/f.u.. Number 3: final energy -3.261 eV per atom, magnetic moment 2.4 μB/f.u.. Number 4: final energy -4.089 eV per atom, magnetic moment 1.1 μB/f.u.. Number 5: final energy -3.168 eV per atom, magnetic moment 0.0 μB/f.u.. Number 6: final energy -2.490 eV per atom, magnetic moment 1.0 μB/f.u..